(1)
ZrZnInCo, optimized geometry, DFT PBE; spin magnetization = 0.00 μB/f.u.; energy above the lowest structure with this stoichiometry = 0 meV/atom; uncorrected energy = -5.110 eV per atom
1.0
6.421 0.000 0.000
0.000 6.421 0.000
0.000 0.000 6.421
Zr Zn In Co
4 4 4 4
Direct
0.000 0.000 0.000
0.000 0.500 0.500
0.500 0.000 0.500
0.500 0.500 0.000
0.250 0.250 0.250
0.250 0.750 0.750
0.750 0.250 0.750
0.750 0.750 0.250
0.000 0.000 0.500
0.000 0.500 0.000
0.500 0.000 0.000
0.500 0.500 0.500
0.250 0.250 0.750
0.250 0.750 0.250
0.750 0.250 0.250
0.750 0.750 0.750



(2)
Pr2HoMg3AgAu2, optimized geometry, DFT PBE; spin magnetization = 0.01 μB/f.u.; uncorrected energy = -3.658 eV per atom
1.0
4.063 0.000 0.000
0.000 6.811 3.946
0.000 -6.811 3.946
Pr Ho Mg Ag Au
2 1 3 1 2
Direct
0.000 0.207 0.793
0.000 0.793 0.207
0.000 0.377 0.377
0.500 0.042 0.042
0.500 0.543 0.787
0.500 0.787 0.543
0.000 0.787 0.787
0.500 0.136 0.456
0.500 0.456 0.136



(3)
LiAlTlAu, optimized geometry, DFT PBE; energy above the lowest structure with this stoichiometry = 72 meV/atom; uncorrected energy = -2.946 eV per atom
1.0
6.729 0.000 0.000
0.000 6.729 0.000
0.000 0.000 6.729
Li Al Tl Au
4 4 4 4
Direct
0.000 0.000 0.000
0.000 0.500 0.500
0.500 0.000 0.500
0.500 0.500 0.000
0.250 0.250 0.750
0.250 0.750 0.250
0.750 0.250 0.250
0.750 0.750 0.750
0.250 0.250 0.250
0.250 0.750 0.750
0.750 0.250 0.750
0.750 0.750 0.250
0.000 0.000 0.500
0.000 0.500 0.000
0.500 0.000 0.000
0.500 0.500 0.500



(4)
Hf2ZrTl, optimized geometry, DFT PBE; spin magnetization = 0.99 μB/f.u.; uncorrected energy = -7.545 eV per atom
1.0
7.066 0.000 0.000
0.000 7.066 0.000
0.000 0.000 7.066
Hf Zr Tl
8 4 4
Direct
0.000 0.000 0.000
0.000 0.500 0.500
0.250 0.250 0.250
0.250 0.750 0.750
0.500 0.000 0.500
0.500 0.500 0.000
0.750 0.250 0.750
0.750 0.750 0.250
0.250 0.250 0.750
0.250 0.750 0.250
0.750 0.250 0.250
0.750 0.750 0.750
0.000 0.000 0.500
0.000 0.500 0.000
0.500 0.000 0.000
0.500 0.500 0.500



(5)
KNaIr, optimized geometry, DFT PBE; spin magnetization = 1.00 μB/f.u.; energy above the lowest structure with this stoichiometry = 0 meV/atom; uncorrected energy = -2.720 eV per atom
1.0
7.349 0.000 0.000
0.000 7.349 0.000
0.000 0.000 7.349
K Na Ir
4 4 4
Direct
0.000 0.000 0.000
0.000 0.500 0.500
0.500 0.000 0.500
0.500 0.500 0.000
0.000 0.000 0.500
0.000 0.500 0.000
0.500 0.000 0.000
0.500 0.500 0.500
0.250 0.250 0.250
0.250 0.750 0.750
0.750 0.250 0.750
0.750 0.750 0.250



(6)
Y2NiPt, optimized geometry, DFT PBE; spin magnetization = 0.00 μB/f.u.; uncorrected energy = -6.998 eV per atom
1.0
4.354 0.000 0.000
0.000 5.528 0.000
0.000 0.000 7.119
Y Ni Pt
4 2 2
Direct
0.000 0.116 0.000
0.000 0.884 0.500
0.500 0.381 0.360
0.500 0.619 0.860
0.500 0.111 0.721
0.500 0.889 0.221
0.000 0.383 0.642
0.000 0.617 0.142



(7)
TlCuNiMo, optimized geometry, DFT PBE; spin magnetization = 1.64 μB/f.u.; energy above the lowest structure with this stoichiometry = 0 meV/atom; uncorrected energy = -5.124 eV per atom
1.0
6.237 0.000 0.000
0.000 6.237 0.000
0.000 0.000 6.237
Tl Cu Ni Mo
4 4 4 4
Direct
0.000 0.000 0.000
0.000 0.500 0.500
0.500 0.000 0.500
0.500 0.500 0.000
0.250 0.250 0.250
0.250 0.750 0.750
0.750 0.250 0.750
0.750 0.750 0.250
0.250 0.250 0.750
0.250 0.750 0.250
0.750 0.250 0.250
0.750 0.750 0.750
0.000 0.000 0.500
0.000 0.500 0.000
0.500 0.000 0.000
0.500 0.500 0.500



(8)
CdFeGeAu, optimized geometry, DFT PBE; spin magnetization = 2.33 μB/f.u.; energy above the lowest structure with this stoichiometry = 0 meV/atom; uncorrected energy = -4.024 eV per atom
1.0
6.488 0.000 0.000
0.000 6.488 0.000
0.000 0.000 6.488
Cd Fe Ge Au
4 4 4 4
Direct
0.000 0.000 0.000
0.000 0.500 0.500
0.500 0.000 0.500
0.500 0.500 0.000
0.250 0.250 0.750
0.250 0.750 0.250
0.750 0.250 0.250
0.750 0.750 0.750
0.000 0.000 0.500
0.000 0.500 0.000
0.500 0.000 0.000
0.500 0.500 0.500
0.250 0.250 0.250
0.250 0.750 0.750
0.750 0.250 0.750
0.750 0.750 0.250



(9)
U2P, optimized geometry, DFT PBE; spin magnetization = 8.10 μB/f.u.; uncorrected energy = -7.402 eV per atom
1.0
0.000 6.031 6.031
6.031 0.000 6.031
6.031 6.031 0.000
U P
4 2
Direct
0.000 0.000 0.000
0.000 0.000 0.500
0.000 0.500 0.000
0.500 0.000 0.000
0.125 0.125 0.125
0.875 0.875 0.875



(10)
FeCuSnMo, optimized geometry, DFT PBE; spin magnetization = 0.80 μB/f.u.; energy above the lowest structure with this stoichiometry = 0 meV/atom; uncorrected energy = -6.446 eV per atom
1.0
6.153 0.000 0.000
0.000 6.153 0.000
0.000 0.000 6.153
Fe Cu Sn Mo
4 4 4 4
Direct
0.000 0.000 0.000
0.000 0.500 0.500
0.500 0.000 0.500
0.500 0.500 0.000
0.000 0.000 0.500
0.000 0.500 0.000
0.500 0.000 0.000
0.500 0.500 0.500
0.250 0.250 0.250
0.250 0.750 0.750
0.750 0.250 0.750
0.750 0.750 0.250
0.250 0.250 0.750
0.250 0.750 0.250
0.750 0.250 0.250
0.750 0.750 0.750



(11)
La4CdCo, optimized geometry, DFT PBE; spin magnetization = 0.00 μB/f.u.; uncorrected energy = -4.828 eV per atom
1.0
0.000 7.026 7.026
7.026 0.000 7.026
7.026 7.026 0.000
La Cd Co
16 4 4
Direct
0.190 0.190 0.810
0.190 0.810 0.190
0.190 0.810 0.810
0.346 0.346 0.346
0.346 0.346 0.963
0.346 0.963 0.346
0.559 0.559 0.941
0.559 0.941 0.559
0.559 0.941 0.941
0.810 0.190 0.190
0.810 0.190 0.810
0.810 0.810 0.190
0.941 0.559 0.559
0.941 0.559 0.941
0.941 0.941 0.559
0.963 0.346 0.346
0.264 0.579 0.579
0.579 0.264 0.579
0.579 0.579 0.264
0.579 0.579 0.579
0.140 0.140 0.140
0.140 0.140 0.579
0.140 0.579 0.140
0.579 0.140 0.140



(12)
Cu5Ag4, optimized geometry, DFT PBE; energy above the lowest structure with this stoichiometry = 48 meV/atom; uncorrected energy = -3.231 eV per atom
1.0
-1.411 1.792 12.987
1.411 -1.792 12.987
1.411 1.792 -12.987
Cu Ag
5 4
Direct
0.000 0.000 0.000
0.096 0.096 0.000
0.548 0.548 0.000
0.776 0.776 0.000
0.888 0.888 0.000
0.219 0.219 0.000
0.332 0.332 0.000
0.444 0.444 0.000
0.653 0.653 0.000



(13)
Sc2CuAu2, optimized geometry, DFT PBE; spin magnetization = 0.01 μB/f.u.; energy above the lowest structure with this stoichiometry = 16 meV/atom; uncorrected energy = -4.716 eV per atom
1.0
4.677 0.000 0.000
0.000 4.677 0.000
0.000 0.000 10.414
Sc Cu Au
4 2 4
Direct
0.000 0.500 0.250
0.000 0.500 0.750
0.500 0.000 0.250
0.500 0.000 0.750
0.000 0.000 0.000
0.500 0.500 0.500
0.000 0.000 0.377
0.000 0.000 0.623
0.500 0.500 0.123
0.500 0.500 0.877



(14)
Cu4Ag, optimized geometry, DFT PBE; energy above the lowest structure with this stoichiometry = 31 meV/atom; uncorrected energy = -3.464 eV per atom
1.0
2.283 -6.665 0.000
2.283 6.665 0.000
-1.461 0.000 4.292
Cu Ag
8 2
Direct
0.000 0.000 0.000
0.093 0.907 0.500
0.194 0.806 0.000
0.406 0.594 0.000
0.500 0.500 0.500
0.594 0.406 0.000
0.806 0.194 0.000
0.907 0.093 0.500
0.304 0.696 0.500
0.696 0.304 0.500



(15)
ZrSi, optimized geometry, DFT PBE; spin magnetization = 0.00 μB/f.u.; uncorrected energy = -7.681 eV per atom
1.0
5.401 0.000 0.000
0.000 5.404 0.000
0.000 0.000 5.404
Zr Si
4 4
Direct
0.249 0.001 0.250
0.249 0.499 0.750
0.751 0.501 0.250
0.751 0.999 0.750
0.251 0.501 0.250
0.251 0.999 0.750
0.749 0.001 0.250
0.749 0.499 0.750



(16)
Zr4CdC2Se, optimized geometry, DFT PBE; spin magnetization = 0.00 μB/f.u.; uncorrected energy = -7.988 eV per atom
1.0
3.413 0.000 0.000
-1.706 2.956 0.000
0.000 0.000 13.969
Zr Cd C Se
4 1 2 1
Direct
0.000 0.000 0.141
0.000 0.000 0.859
0.667 0.333 0.318
0.667 0.333 0.682
0.000 0.000 0.500
0.333 0.667 0.231
0.333 0.667 0.769
0.667 0.333 0.000



(17)
TmZrHg2Au4, optimized geometry, DFT PBE; spin magnetization = 0.00 μB/f.u.; uncorrected energy = -3.796 eV per atom
1.0
4.840 0.000 0.000
0.000 4.840 0.000
0.000 0.000 6.838
Tm Zr Hg Au
1 1 2 4
Direct
0.000 0.000 0.000
0.500 0.500 0.500
0.000 0.000 0.500
0.500 0.500 0.000
0.000 0.500 0.258
0.000 0.500 0.742
0.500 0.000 0.258
0.500 0.000 0.742



(18)
HoUIr, optimized geometry, DFT PBE; spin magnetization = 3.32 μB/f.u.; energy above the lowest structure with this stoichiometry = 0 meV/atom; uncorrected energy = -8.405 eV per atom
1.0
6.712 0.000 0.000
0.000 6.712 0.000
0.000 0.000 6.712
Ho U Ir
4 4 4
Direct
0.000 0.000 0.000
0.000 0.500 0.500
0.500 0.000 0.500
0.500 0.500 0.000
0.000 0.000 0.500
0.000 0.500 0.000
0.500 0.000 0.000
0.500 0.500 0.500
0.250 0.250 0.250
0.250 0.750 0.750
0.750 0.250 0.750
0.750 0.750 0.250



(19)
Hf2Zn, optimized geometry, DFT PBE; spin magnetization = 0.00 μB/f.u.; uncorrected energy = -7.233 eV per atom
1.0
3.243 0.000 0.000
0.000 3.243 0.000
0.000 0.000 11.273
Hf Zn
4 2
Direct
0.000 0.000 0.159
0.000 0.000 0.841
0.500 0.500 0.341
0.500 0.500 0.659
0.000 0.000 0.500
0.500 0.500 0.000



(20)
SrCdPt, optimized geometry, DFT PBE; spin magnetization = 0.00 μB/f.u.; uncorrected energy = -3.572 eV per atom
1.0
7.593 0.000 0.000
0.000 4.497 0.000
0.000 0.000 8.693
Sr Cd Pt
4 4 4
Direct
0.030 0.250 0.181
0.470 0.750 0.681
0.530 0.250 0.319
0.970 0.750 0.819
0.144 0.250 0.565
0.356 0.750 0.065
0.644 0.250 0.935
0.856 0.750 0.435
0.231 0.750 0.377
0.269 0.250 0.877
0.731 0.750 0.123
0.769 0.250 0.623